# 1
{
  "formula": "BaZr4P6O24",
  "functional": "PBE",
  "state": "optimized geometry",
  "sg": "R-3 (148)",
  "dos_ef_per_ev_atom": 0.0000,
  "magnetic_moment_mub_per_atom": 0.000,
  "final_energy_ev_per_atom": -8.14,
  "raw_formation_energy_ev_per_atom": -2.781,
  "cell": [[9.558, 0.024, 0.017], [5.458, 7.846, 0.017], [5.458, 2.861, 7.306]],
  "species": ["O", "O", "O", "O", "O", "O", "O", "O", "O", "O", "O", "O", "O", "O", "O", "O", "O", "O", "O", "O", "O", "O", "O", "O", "P", "P", "P", "P", "P", "P", "Zr", "Zr", "Zr", "Zr", "Ba"],
  "frac_coords": [[0.855, 0.480, 0.763], [0.431, 0.814, 0.553], [0.912, 0.086, 0.280], [0.814, 0.553, 0.431], [0.569, 0.186, 0.447], [0.447, 0.569, 0.186], [0.145, 0.520, 0.237], [0.914, 0.720, 0.088], [0.520, 0.237, 0.145], [0.480, 0.763, 0.855], [0.280, 0.912, 0.086], [0.997, 0.378, 0.222], [0.086, 0.280, 0.912], [0.553, 0.431, 0.814], [0.763, 0.855, 0.480], [0.088, 0.914, 0.720], [0.778, 0.003, 0.622], [0.222, 0.997, 0.378], [0.622, 0.778, 0.003], [0.720, 0.088, 0.914], [0.378, 0.222, 0.997], [0.003, 0.622, 0.778], [0.186, 0.447, 0.569], [0.237, 0.145, 0.520], [0.032, 0.460, 0.753], [0.753, 0.032, 0.460], [0.540, 0.247, 0.968], [0.968, 0.540, 0.247], [0.460, 0.753, 0.032], [0.247, 0.968, 0.540], [0.849, 0.849, 0.849], [0.647, 0.647, 0.647], [0.353, 0.353, 0.353], [0.151, 0.151, 0.151], [0.000, 0.000, 0.000]]
}

=====

# 2
{
  "formula": "RbZn",
  "functional": "PBE",
  "state": "optimized geometry",
  "sg": "Fddd (70)",
  "dos_ef_per_ev_atom": 0.7292,
  "magnetic_moment_mub_per_atom": 0.000,
  "final_energy_ev_per_atom": -0.91,
  "cell": [[-10.750, -0.036, 1.594], [0.704, -16.852, 4.365], [0.986, 1.773, 6.686]],
  "species": ["Zn", "Zn", "Zn", "Zn", "Zn", "Zn", "Zn", "Zn", "Zn", "Zn", "Zn", "Zn", "Zn", "Zn", "Zn", "Zn", "Rb", "Rb", "Rb", "Rb", "Rb", "Rb", "Rb", "Rb", "Rb", "Rb", "Rb", "Rb", "Rb", "Rb", "Rb", "Rb"],
  "frac_coords": [[0.250, 0.175, 0.750], [0.000, 0.075, 0.000], [0.000, 0.575, 0.500], [0.500, 0.575, 0.000], [0.000, 0.925, 0.000], [0.250, 0.675, 0.250], [0.750, 0.825, 0.750], [0.500, 0.925, 0.500], [0.250, 0.325, 0.750], [0.750, 0.325, 0.250], [0.500, 0.425, 0.000], [0.750, 0.175, 0.250], [0.750, 0.675, 0.750], [0.250, 0.825, 0.250], [0.000, 0.425, 0.500], [0.500, 0.075, 0.500], [0.327, 0.500, 0.500], [0.827, 0.500, 0.000], [0.077, 0.250, 0.250], [0.827, 0.000, 0.500], [0.673, 0.000, 0.000], [0.577, 0.250, 0.750], [0.327, 0.000, 0.000], [0.923, 0.250, 0.750], [0.577, 0.750, 0.250], [0.423, 0.250, 0.250], [0.077, 0.750, 0.750], [0.923, 0.750, 0.250], [0.173, 0.500, 0.000], [0.173, 0.000, 0.500], [0.673, 0.500, 0.500], [0.423, 0.750, 0.750]]
}

=====

# 3
{
  "formula": "Y3Sn",
  "functional": "PBE",
  "state": "optimized geometry",
  "sg": "P6_3/mmc (194)",
  "dos_ef_per_ev_atom": 1.3423,
  "magnetic_moment_mub_per_atom": 0.363,
  "final_energy_ev_per_atom": -6.26,
  "cell": [[3.430, -5.942, 0.000], [3.430, 5.942, 0.000], [0.000, 0.000, 5.591]],
  "species": ["Y", "Y", "Y", "Y", "Y", "Y", "Sn", "Sn"],
  "frac_coords": [[0.171, 0.342, 0.250], [0.342, 0.171, 0.750], [0.658, 0.829, 0.250], [0.171, 0.829, 0.250], [0.829, 0.171, 0.750], [0.829, 0.658, 0.750], [0.333, 0.667, 0.750], [0.667, 0.333, 0.250]]
}

=====

# 4
{
  "formula": "KNa2TlPb",
  "functional": "PBE",
  "state": "optimized geometry",
  "relative_energy_mev_per_atom": 30,
  "sg": "P4/mmm (123)",
  "dos_ef_per_ev_atom": 0.3654,
  "magnetic_moment_mub_per_atom": 0.000,
  "final_energy_ev_per_atom": -1.94,
  "cell": [[-4.608, 2.840, 2.474], [-3.484, -1.731, -4.504], [-1.434, -4.951, 3.012]],
  "species": ["Na", "Na", "Pb", "Tl", "K"],
  "frac_coords": [[0.000, 0.500, 0.000], [0.500, 0.000, 0.000], [0.000, 0.000, 0.500], [0.000, 0.000, 0.000], [0.500, 0.500, 0.500]]
}

=====

# 5
{
  "formula": "Ce2NdTl2Cd2",
  "functional": "PBE",
  "state": "optimized geometry",
  "sg": "R-3m (166)",
  "dos_ef_per_ev_atom": 1.7535,
  "magnetic_moment_mub_per_atom": 0.334,
  "final_energy_ev_per_atom": -3.46,
  "cell": [[-4.168, 2.480, -0.418], [-2.390, 0.046, -4.241], [-6.922, -6.681, 1.034]],
  "species": ["Tl", "Tl", "Ce", "Ce", "Cd", "Cd", "Nd"],
  "frac_coords": [[0.272, 0.272, 0.185], [0.728, 0.728, 0.815], [0.146, 0.146, 0.561], [0.854, 0.854, 0.439], [0.576, 0.576, 0.273], [0.424, 0.424, 0.727], [0.000, 0.000, 0.000]]
}

=====

# 6
{
  "formula": "ThHgH",
  "functional": "PBE",
  "state": "optimized geometry",
  "relative_energy_mev_per_atom": 0,
  "sg": "P2_1/m (11)",
  "dos_ef_per_ev_atom": 0.5764,
  "magnetic_moment_mub_per_atom": 0.000,
  "final_energy_ev_per_atom": -4.08,
  "cell": [[-0.100, 3.910, -2.212], [-0.984, -2.042, -3.565], [-5.478, 1.611, 3.095]],
  "species": ["H", "H", "Hg", "Hg", "Th", "Th"],
  "frac_coords": [[0.481, 0.997, 0.887], [0.980, 0.488, 0.870], [0.481, 0.670, 0.234], [0.981, 0.815, 0.523], [0.481, 0.402, 0.697], [0.981, 0.083, 0.061]]
}

=====

# 7
{
  "formula": "GeSbAs2Br",
  "functional": "PBE",
  "state": "optimized geometry",
  "relative_energy_mev_per_atom": 246,
  "sg": "P4/mmm (123)",
  "dos_ef_per_ev_atom": 0.9276,
  "magnetic_moment_mub_per_atom": 0.000,
  "final_energy_ev_per_atom": -3.15,
  "raw_formation_energy_ev_per_atom": 0.788,
  "cell": [[5.339, 0.000, 0.000], [0.000, 5.339, 0.000], [0.000, 0.000, 5.400]],
  "species": ["Sb", "As", "As", "Ge", "Br"],
  "frac_coords": [[0.000, 0.000, 0.000], [0.500, 0.000, 0.000], [0.000, 0.500, 0.000], [0.500, 0.500, 0.500], [0.000, 0.000, 0.500]]
}

=====

# 8
{
  "formula": "PAuF3",
  "functional": "PBE",
  "state": "optimized geometry",
  "relative_energy_mev_per_atom": 548,
  "sg": "Pm-3m (221)",
  "dos_ef_per_ev_atom": 1.4636,
  "magnetic_moment_mub_per_atom": 0.446,
  "final_energy_ev_per_atom": -2.98,
  "raw_formation_energy_ev_per_atom": -0.121,
  "cell": [[4.399, 0.000, 0.000], [0.000, 4.399, 0.000], [0.000, 0.000, 4.399]],
  "species": ["F", "F", "F", "P", "Au"],
  "frac_coords": [[0.000, 0.000, 0.500], [0.500, 0.000, 0.000], [0.000, 0.500, 0.000], [0.500, 0.500, 0.500], [0.000, 0.000, 0.000]]
}

=====

# 9
{
  "formula": "BaCa2AlCu",
  "functional": "PBE",
  "state": "optimized geometry",
  "sg": "P4/mmm (123)",
  "dos_ef_per_ev_atom": 0.7770,
  "magnetic_moment_mub_per_atom": 0.000,
  "final_energy_ev_per_atom": -2.78,
  "cell": [[-3.008, -3.208, -3.564], [-2.326, -2.703, 4.396], [-3.655, 3.313, 0.103]],
  "species": ["Ca", "Ca", "Cu", "Al", "Ba"],
  "frac_coords": [[0.500, 0.000, 0.000], [0.000, 0.500, 0.000], [0.000, 0.000, 0.000], [0.000, 0.000, 0.500], [0.500, 0.500, 0.500]]
}

=====

# 10
{
  "formula": "YBe2CdB",
  "functional": "PBE",
  "state": "optimized geometry",
  "sg": "P4/mmm (123)",
  "dos_ef_per_ev_atom": 0.4666,
  "magnetic_moment_mub_per_atom": 0.000,
  "final_energy_ev_per_atom": -4.02,
  "cell": [[4.071, 0.000, 0.000], [0.000, 4.887, 0.000], [0.000, 0.000, 4.071]],
  "species": ["Be", "Be", "B", "Cd", "Y"],
  "frac_coords": [[0.000, 0.000, 0.500], [0.500, 0.000, 0.000], [0.000, 0.000, 0.000], [0.500, 0.500, 0.500], [0.000, 0.500, 0.000]]
}

=====

# 11
{
  "formula": "Pb2W",
  "functional": "PBE",
  "state": "optimized geometry",
  "relative_energy_mev_per_atom": 210,
  "sg": "P-3m1 (164)",
  "dos_ef_per_ev_atom": 0.4411,
  "magnetic_moment_mub_per_atom": 0.000,
  "final_energy_ev_per_atom": -6.00,
  "cell": [[-3.064, 0.779, 0.262], [0.823, -2.965, -0.771], [0.175, -2.144, 8.430]],
  "species": ["Pb", "Pb", "W"],
  "frac_coords": [[0.667, 0.333, 0.718], [0.333, 0.667, 0.282], [0.000, 0.000, 0.000]]
}

=====

# 12
{
  "formula": "LiTm2Pd2",
  "functional": "PBE",
  "state": "optimized geometry",
  "sg": "P4/mbm (127)",
  "dos_ef_per_ev_atom": 0.4431,
  "magnetic_moment_mub_per_atom": 0.000,
  "final_energy_ev_per_atom": -4.98,
  "cell": [[-1.135, 3.469, 0.520], [0.648, -0.916, 7.525], [7.209, 2.408, -0.328]],
  "species": ["Li", "Li", "Pd", "Pd", "Pd", "Pd", "Tm", "Tm", "Tm", "Tm"],
  "frac_coords": [[0.500, 0.500, 0.000], [0.500, 0.000, 0.500], [0.500, 0.635, 0.635], [0.500, 0.865, 0.135], [0.500, 0.365, 0.365], [0.500, 0.135, 0.865], [0.000, 0.664, 0.336], [0.000, 0.336, 0.664], [0.000, 0.836, 0.836], [0.000, 0.164, 0.164]]
}

=====

# 13
{
  "formula": "NpTiN2",
  "functional": "PBE",
  "state": "optimized geometry",
  "sg": "R3m (160)",
  "dos_ef_per_ev_atom": 0.7135,
  "magnetic_moment_mub_per_atom": 0.783,
  "final_energy_ev_per_atom": -10.60,
  "raw_formation_energy_ev_per_atom": -1.228,
  "cell": [[-1.456, -2.723, -0.298], [0.339, -2.186, 2.174], [-4.868, 0.461, 3.435]],
  "species": ["Ti", "N", "N", "Np"],
  "frac_coords": [[0.670, 0.670, 0.989], [0.070, 0.070, 0.790], [0.263, 0.263, 0.211], [0.497, 0.497, 0.509]]
}